Record 1
# HoAsSe

A relaxed structure of HoAsSe (PBE, Alexandria via LeMat-Bulk).

a = 3.8751 Å, b = 7.2264 Å, c = 9.5956 Å
α = 90.00°, β = 90.00°, γ = 90.00°
Positions (direct):
Se: 0.7500 0.4136 0.1536
As: 0.2500 0.1022 0.0407
Ho: 0.2500 0.7163 0.1601
Se: 0.2500 0.5864 0.8464
Ho: 0.7500 0.7837 0.6601
Ho: 0.7500 0.2837 0.8399
As: 0.7500 0.8978 0.9593
Se: 0.2500 0.0864 0.6536
Se: 0.7500 0.9136 0.3464
As: 0.2500 0.6022 0.4593
As: 0.7500 0.3978 0.5407
Ho: 0.2500 0.2163 0.3399

ρ   7.88 Mg/m³
Total magnetic moment   0.00 μB per formula unit
SG   Pnma, No. 62
Crystal system   orthorhombic


Record 2
# Ho8As3Se4

A relaxed structure of Ho8As3Se4 (PBE, Alexandria via LeMat-Bulk).

a = 8.0779 Å, b = 8.0965 Å, c = 8.0965 Å
α = 89.91°, β = 120.04°, γ = 120.04°
Positions (direct):
Ho: 0.9935 0.7466 0.7466
Se: 0.0000 0.5000 0.0000
Se: 0.5000 0.0000 0.0000
Ho: 0.0065 0.2534 0.2534
As: 0.5000 0.5000 0.0000
Ho: 0.5000 0.2540 0.7460
Ho: 0.0000 0.2521 0.7479
As: 0.5000 0.5000 0.5000
Se: 0.0000 0.0000 0.5000
Ho: 0.5096 0.2576 0.2576
As: 0.5000 0.0000 0.5000
Ho: 0.0000 0.7479 0.2521
Ho: 0.5000 0.7460 0.2540
Se: 0.0000 0.0000 0.0000
Ho: 0.4904 0.7424 0.7424

ρ   8.25 Mg/m³
Total magnetic moment   0.00 μB per formula unit
SG   C2/m, No. 12
Crystal system   monoclinic


Record 3
# Ho4AsSe3

A relaxed structure of Ho4AsSe3 (PBE, Alexandria via LeMat-Bulk).

a = 4.0627 Å, b = 7.0527 Å, c = 7.0527 Å
α = 109.31°, β = 90.00°, γ = 90.00°
Positions (direct):
Se: 0.5000 0.5000 0.5000
Ho: 0.5000 0.7562 0.2438
Ho: 0.0000 0.2395 0.2395
Se: 0.0000 0.5000 0.0000
Se: 0.0000 0.0000 0.5000
As: 0.5000 0.0000 0.0000
Ho: 0.5000 0.2438 0.7562
Ho: 0.0000 0.7605 0.7605

ρ   8.46 Mg/m³
Total magnetic moment   0.00 μB per formula unit
SG   Cmmm, No. 65
Crystal system   orthorhombic


Record 4
# Ho3As2Se

A relaxed structure of Ho3As2Se (PBE, Alexandria via LeMat-Bulk).

a = 4.0892 Å, b = 5.7834 Å, c = 7.0733 Å
α = 114.13°, β = 106.80°, γ = 90.00°
Positions (direct):
Ho: 0.5000 0.0000 0.5000
As: 0.8349 0.8349 0.1698
As: 0.1651 0.1651 0.8302
Ho: 0.1727 0.6727 0.8454
Ho: 0.8273 0.3273 0.1546
Se: 0.5000 0.5000 0.5000

ρ   8.30 Mg/m³
Total magnetic moment   0.00 μB per formula unit
SG   Immm, No. 71
Crystal system   orthorhombic


Record 5
# Ho5AsSe4

A relaxed structure of Ho5AsSe4 (PBE, Alexandria via LeMat-Bulk).

a = 4.0612 Å, b = 4.0612 Å, c = 14.6842 Å
α = 97.95°, β = 97.95°, γ = 90.00°
Positions (direct):
As: 0.0000 0.0000 0.0000
Ho: 0.9028 0.9028 0.8055
Se: 0.6014 0.6014 0.2029
Se: 0.1981 0.1981 0.3962
Se: 0.8019 0.8019 0.6038
Ho: 0.2974 0.2974 0.5948
Ho: 0.0972 0.0972 0.1945
Se: 0.3986 0.3986 0.7971
Ho: 0.5000 0.5000 0.0000
Ho: 0.7026 0.7026 0.4052

ρ   8.50 Mg/m³
Total magnetic moment   0.00 μB per formula unit
SG   I4/mmm, No. 139
Crystal system   tetragonal


Record 6
# HoAsSe

A relaxed structure of HoAsSe (PBE, Alexandria via LeMat-Bulk).

a = 4.5157 Å, b = 4.3099 Å, c = 7.4609 Å
α = 73.21°, β = 90.00°, γ = 90.00°
Positions (direct):
Se: 0.7500 0.7527 0.4945
As: 0.7500 0.4554 0.0893
Ho: 0.2500 0.8809 0.2383
As: 0.2500 0.5446 0.9107
Ho: 0.7500 0.1191 0.7617
Se: 0.2500 0.2473 0.5055

ρ   7.62 Mg/m³
Total magnetic moment   0.00 μB per formula unit
SG   Cmcm, No. 63
Crystal system   orthorhombic


Record 7
# Ho6SiAs2Se3

A relaxed structure of Ho6SiAs2Se3 (PBE, Alexandria via LeMat-Bulk).

a = 4.0867 Å, b = 8.1883 Å, c = 9.1623 Å
α = 103.12°, β = 102.89°, γ = 90.00°
Positions (direct):
Se: 0.5000 0.5000 0.0000
Ho: 0.3390 0.9132 0.6779
Ho: 0.0017 0.2382 0.0035
As: 0.1672 0.3341 0.3343
Ho: 0.3311 0.4235 0.6623
Ho: 0.9983 0.7618 0.9965
Ho: 0.6610 0.0868 0.3221
Ho: 0.6689 0.5765 0.3377
As: 0.8328 0.6659 0.6657
Si: 0.5000 0.0000 0.0000
Se: 0.8317 0.1674 0.6635
Se: 0.1683 0.8326 0.3365

ρ   8.02 Mg/m³
Total magnetic moment   0.00 μB per formula unit
SG   C2/m, No. 12
Crystal system   monoclinic


Record 8
# Ho4SiAsSe2

A relaxed structure of Ho4SiAsSe2 (PBE, Alexandria via LeMat-Bulk).

a = 4.0878 Å, b = 7.1027 Å, c = 7.0869 Å
α = 70.65°, β = 90.00°, γ = 90.00°
Positions (direct):
Si: 0.0000 0.5000 0.5000
As: 0.5000 0.5000 0.0000
Se: 0.5000 0.0000 0.5000
Ho: 0.0000 0.2642 0.2498
Ho: 0.5000 0.7355 0.2586
Ho: 0.5000 0.2645 0.7414
Se: 0.0000 0.0000 0.0000
Ho: 0.0000 0.7358 0.7502

ρ   7.87 Mg/m³
Total magnetic moment   0.00 μB per formula unit
SG   P2/m, No. 10
Crystal system   monoclinic


Record 9
# SmHoAsSe

A relaxed structure of SmHoAsSe (PBE, Alexandria via LeMat-Bulk).

a = 4.0643 Å, b = 4.0650 Å, c = 7.5049 Å
α = 90.01°, β = 105.70°, γ = 120.00°
Positions (direct):
Sm: 0.9568 0.3765 0.3483
As: 0.1281 0.9620 0.1053
Se: 0.4771 0.1365 0.6288
Ho: 0.3159 0.5559 0.8872

ρ   7.64 Mg/m³
Total magnetic moment   0.01 μB per formula unit
SG   R3m, No. 160
Crystal system   trigonal


Record 10
# Ho6SnAs3Se2

A relaxed structure of Ho6SnAs3Se2 (PBE, Alexandria via LeMat-Bulk).

a = 4.0997 Å, b = 8.3530 Å, c = 9.2592 Å
α = 103.08°, β = 102.79°, γ = 90.00°
Positions (direct):
Ho: 0.6644 0.5910 0.3288
As: 0.8327 0.1683 0.6654
As: 0.1673 0.8317 0.3346
Se: 0.8310 0.6618 0.6620
Sn: 0.5000 0.0000 0.0000
Ho: 0.9989 0.2618 0.9978
As: 0.5000 0.5000 0.0000
Ho: 0.6707 0.0783 0.3413
Ho: 0.3356 0.4090 0.6712
Se: 0.1690 0.3382 0.3380
Ho: 0.3293 0.9217 0.6587
Ho: 0.0011 0.7382 0.0022

ρ   8.23 Mg/m³
Total magnetic moment   0.00 μB per formula unit
SG   C2/m, No. 12
Crystal system   monoclinic


Record 11
# Ho4SnAsSe2

A relaxed structure of Ho4SnAsSe2 (PBE, Alexandria via LeMat-Bulk).

a = 4.1623 Å, b = 7.1956 Å, c = 7.2328 Å
α = 70.53°, β = 90.00°, γ = 90.00°
Positions (direct):
Ho: 0.5000 0.2577 0.7412
Ho: 0.0000 0.7497 0.7431
Ho: 0.5000 0.7423 0.2588
Se: 0.5000 0.0000 0.5000
As: 0.0000 0.5000 0.5000
Ho: 0.0000 0.2503 0.2569
Sn: 0.5000 0.5000 0.0000
Se: 0.0000 0.0000 0.0000

ρ   8.22 Mg/m³
Total magnetic moment   0.00 μB per formula unit
SG   P2/m, No. 10
Crystal system   monoclinic


Record 12
# Ho6SnAs2Se3

A relaxed structure of Ho6SnAs2Se3 (PBE, Alexandria via LeMat-Bulk).

a = 4.1323 Å, b = 8.2861 Å, c = 9.2465 Å
α = 102.75°, β = 102.91°, γ = 90.00°
Positions (direct):
Se: 0.8337 0.1681 0.6675
As: 0.8325 0.6646 0.6650
Ho: 0.0031 0.2573 0.0061
Ho: 0.6706 0.5768 0.3412
Ho: 0.3294 0.4232 0.6588
Ho: 0.9969 0.7427 0.9939
Sn: 0.5000 0.0000 0.0000
Ho: 0.3310 0.9058 0.6620
Ho: 0.6690 0.0942 0.3380
Se: 0.5000 0.5000 0.0000
Se: 0.1663 0.8319 0.3325
As: 0.1675 0.3354 0.3350

ρ   8.26 Mg/m³
Total magnetic moment   0.00 μB per formula unit
SG   C2/m, No. 12
Crystal system   monoclinic


The energy relative to the elements, uncorrected results, record by record, are as follows: -1.40 -1.55 -1.72 -1.66 -1.71 -1.02 -1.58 -1.52 -1.65 -1.49 -1.44 -1.52 eV per atom.
The total DFT energy (no corrections) results, record by record, are as follows: -5.641 -5.850 -5.893 -6.080 -5.857 -5.260 -5.964 -5.939 -6.006 -5.852 -5.680 -5.789 eV per atom.